Entry from Alexandria via LeMat-Bulk: a relaxed CeErTm4 crystal (GGA-PBE).

Cell and atoms, written as extended XYZ:
```
12
Lattice="3.5187 0.0000 0.0000 0.0000 5.9798 -1.1624 0.0002 1.2392 16.9151" Properties=species:S:1:pos:R:3 pbc="T T T"
Ce 1.7594 0.6196 8.4576
Ce 0.0000 0.0000 0.0000
Er 0.0001 3.6095 7.8763
Er 1.7594 2.9899 -0.5812
Tm 1.7623 4.0766 4.9102
Tm 0.0030 2.5228 2.3849
Tm 1.7565 3.1424 10.8425
Tm 3.5159 4.6963 13.3678
Tm 0.0029 1.0637 5.5148
Tm 1.7622 5.5357 1.7803
Tm 3.5160 6.1554 10.2378
Tm 1.7567 1.6833 13.9724
```

Computed properties:
relative energy among the computed polymorphs: 0.00 eV/f.u.
calculated density: 9.045 Mg/m³
formation energy from the elements: 19.7 meV/atom